(1)
A plane-wave DFT calculation with GGA-PBEsol was carried out for a geometry-optimized Si2PbCl structure.

Cell: 3.940 3.940 23.866 Å, 90.00 90.00 90.00°
Space group I-42d (No. 122)
Inequivalent atoms, fractional coordinates:
Si  0.184  0.250  0.125 [8 per cell]
Pb  0.000  0.000  0.000 [4 per cell]
Cl  0.000  0.000  0.500 [4 per cell]

Computed properties:
- Electronic total energy: -4.134 eV/atom
- Size of the total moment: 0.0 μB/cell
- ΔE to the lowest computed polymorph: 0.98 eV/f.u.
- Energy relative to the elements, uncorrected: 0.241 eV per atom
- Calculated volume: 370.5 Å³/cell

---

(2)
A plane-wave DFT calculation with GGA-PBEsol was carried out for a geometry-optimized SiPb2Cl structure.

Cell: 7.259 7.259 7.259 Å, 90.00 90.00 90.00°
Space group F-43m (No. 216)
Inequivalent atoms, fractional coordinates:
Si  0.000  0.000  0.000 [4 per cell]
Pb  0.000  0.000  0.500 [4 per cell]
Pb  0.250  0.250  0.750 [4 per cell]
Cl  0.250  0.250  0.250 [4 per cell]

Computed properties:
- Electronic total energy: -3.783 eV/atom
- Size of the total moment: 0.0 μB/cell
- ΔE to the lowest computed polymorph: 0.62 eV/f.u.
- Energy relative to the elements, uncorrected: 0.155 eV per atom
- Calculated volume: 382.4 Å³/cell

---

(3)
A plane-wave DFT calculation with GGA-PBEsol was carried out for a geometry-optimized Si2PbCl structure.

Cell: 4.527 3.816 5.870 Å, 90.00 112.66 90.00°
Space group Pm (No. 6)
Inequivalent atoms, fractional coordinates:
Si  0.000  0.000  0.000 [1 per cell]
Si  0.305  0.500  0.016 [1 per cell]
Pb  0.557  0.500  0.645 [1 per cell]
Cl  0.924  0.000  0.343 [1 per cell]

Computed properties:
- Electronic total energy: -4.380 eV/atom
- Size of the total moment: 0.0 μB/cell
- ΔE to the lowest computed polymorph: 0.00 eV/f.u.
- Energy relative to the elements, uncorrected: -0.005 eV per atom
- Calculated volume: 93.6 Å³/cell

---

(4)
A plane-wave DFT calculation with GGA-PBEsol was carried out for a geometry-optimized SnPb2Cl structure.

Cell: 7.476 7.476 7.476 Å, 90.00 90.00 90.00°
Space group Fm-3m (No. 225)
Inequivalent atoms, fractional coordinates:
Sn  0.000  0.000  0.000 [4 per cell]
Pb  0.250  0.250  0.250 [8 per cell]
Cl  0.000  0.000  0.500 [4 per cell]

Computed properties:
- Electronic total energy: -3.822 eV/atom
- Size of the total moment: 0.0 μB/cell
- Energy relative to the elements, uncorrected: -0.256 eV per atom
- Calculated volume: 417.9 Å³/cell

---

(5)
A plane-wave DFT calculation with GGA-PBEsol was carried out for a geometry-optimized SrPb2Cl structure.

Cell: 3.778 5.763 5.872 Å, 90.00 90.00 90.00°
Space group Pmmm (No. 47)
Inequivalent atoms, fractional coordinates:
Sr  0.000  0.000  0.000 [1 per cell]
Pb  0.500  0.500  0.244 [2 per cell]
Cl  0.000  0.000  0.500 [1 per cell]

Computed properties:
- Electronic total energy: -3.555 eV/atom
- Size of the total moment: 0.0 μB/cell
- ΔE to the lowest computed polymorph: 0.00 eV/f.u.
- Energy relative to the elements, uncorrected: -0.594 eV per atom
- Calculated volume: 127.8 Å³/cell

---

(6)
A plane-wave DFT calculation with GGA-PBEsol was carried out for a geometry-optimized Sr2PbCl structure.

Cell: 4.514 4.514 13.234 Å, 90.00 90.00 90.00°
Space group I-4m2 (No. 119)
Inequivalent atoms, fractional coordinates:
Sr  0.000  0.000  0.000 [2 per cell]
Sr  0.000  0.500  0.250 [2 per cell]
Pb  0.000  0.500  0.750 [2 per cell]
Cl  0.000  0.000  0.500 [2 per cell]

Computed properties:
- Electronic total energy: -3.297 eV/atom
- Size of the total moment: 0.0 μB/cell
- ΔE to the lowest computed polymorph: 1.45 eV/f.u.
- Energy relative to the elements, uncorrected: -0.875 eV per atom
- Calculated volume: 269.7 Å³/cell

---

(7)
A plane-wave DFT calculation with GGA-PBEsol was carried out for a geometry-optimized Sr2PbCl structure.

Cell: 5.830 5.830 3.884 Å, 90.00 90.00 90.00°
Space group P4mm (No. 99)
Inequivalent atoms, fractional coordinates:
Sr  0.000  0.500  0.000 [2 per cell]
Pb  0.000  0.000  0.501 [1 per cell]
Cl  0.500  0.500  0.003 [1 per cell]

Computed properties:
- Electronic total energy: -3.661 eV/atom
- Size of the total moment: 0.0 μB/cell
- ΔE to the lowest computed polymorph: 0.00 eV/f.u.
- Energy relative to the elements, uncorrected: -1.239 eV per atom
- Calculated volume: 132.0 Å³/cell

---

(8)
A plane-wave DFT calculation with GGA-PBEsol was carried out for a geometry-optimized Sr2PbCl structure.

Cell: 3.892 4.275 8.341 Å, 90.00 90.00 90.00°
Space group Pmmm (No. 47)
Inequivalent atoms, fractional coordinates:
Sr  0.000  0.000  0.228 [2 per cell]
Pb  0.500  0.500  0.000 [1 per cell]
Cl  0.500  0.000  0.500 [1 per cell]

Computed properties:
- Electronic total energy: -3.627 eV/atom
- Size of the total moment: 0.0 μB/cell
- ΔE to the lowest computed polymorph: 0.13 eV/f.u.
- Energy relative to the elements, uncorrected: -1.206 eV per atom
- Calculated volume: 138.8 Å³/cell

---

(9)
A plane-wave DFT calculation with GGA-PBEsol was carried out for a geometry-optimized SrPb2Cl structure.

Cell: 5.850 11.985 3.635 Å, 90.00 90.00 90.00°
Space group Cmmm (No. 65)
Inequivalent atoms, fractional coordinates:
Sr  0.000  0.000  0.000 [2 per cell]
Pb  0.250  0.250  0.500 [4 per cell]
Cl  0.000  0.500  0.000 [2 per cell]

Computed properties:
- Electronic total energy: -3.461 eV/atom
- Size of the total moment: 0.0 μB/cell
- ΔE to the lowest computed polymorph: 0.37 eV/f.u.
- Energy relative to the elements, uncorrected: -0.500 eV per atom
- Calculated volume: 254.9 Å³/cell

---

(10)
A plane-wave DFT calculation with GGA-PBEsol was carried out for a geometry-optimized SrTaPbCl2 structure.

Cell: 5.126 5.126 7.006 Å, 90.00 90.00 90.00°
Space group P4/mmm (No. 123)
Inequivalent atoms, fractional coordinates:
Sr  0.000  0.000  0.000 [1 per cell]
Ta  0.500  0.500  0.500 [1 per cell]
Pb  0.000  0.000  0.500 [1 per cell]
Cl  0.000  0.500  0.000 [2 per cell]

Computed properties:
- Electronic total energy: -4.058 eV/atom
- Size of the total moment: 2.4 μB/cell
- Energy relative to the elements, uncorrected: 0.423 eV per atom
- Calculated volume: 184.1 Å³/cell

---

(11)
A plane-wave DFT calculation with GGA-PBEsol was carried out for a geometry-optimized Tc2PbCl structure.

Cell: 8.194 2.955 5.719 Å, 90.00 101.93 90.00°
Space group C2/m (No. 12)
Inequivalent atoms, fractional coordinates:
Tc  0.247  0.000  0.187 [4 per cell]
Pb  0.000  0.000  0.500 [2 per cell]
Cl  0.000  0.500  0.000 [2 per cell]

Computed properties:
- Electronic total energy: -6.450 eV/atom
- Size of the total moment: 0.0 μB/cell
- ΔE to the lowest computed polymorph: 0.00 eV/f.u.
- Energy relative to the elements, uncorrected: 0.685 eV per atom
- Calculated volume: 135.5 Å³/cell

---

(12)
A plane-wave DFT calculation with GGA-PBEsol was carried out for a geometry-optimized TcPb2Cl structure.

Cell: 3.163 5.722 10.025 Å, 90.00 90.00 90.00°
Space group Cmm2 (No. 35)
Inequivalent atoms, fractional coordinates:
Tc  0.000  0.000  0.000 [2 per cell]
Pb  0.000  0.000  0.532 [2 per cell]
Pb  0.000  0.500  0.235 [2 per cell]
Cl  0.000  0.500  0.829 [2 per cell]

Computed properties:
- Electronic total energy: -4.961 eV/atom
- Size of the total moment: 0.0 μB/cell
- ΔE to the lowest computed polymorph: 0.00 eV/f.u.
- Energy relative to the elements, uncorrected: 0.357 eV per atom
- Calculated volume: 181.4 Å³/cell

---

(13)
A plane-wave DFT calculation with GGA-PBEsol was carried out for a geometry-optimized Tc2PbCl structure.

Cell: 6.518 6.518 6.518 Å, 90.00 90.00 90.00°
Space group F-43m (No. 216)
Inequivalent atoms, fractional coordinates:
Tc  0.000  0.000  0.000 [4 per cell]
Tc  0.250  0.250  0.250 [4 per cell]
Pb  0.250  0.250  0.750 [4 per cell]
Cl  0.000  0.000  0.500 [4 per cell]

Computed properties:
- Electronic total energy: -6.112 eV/atom
- Size of the total moment: 4.7 μB/cell
- ΔE to the lowest computed polymorph: 1.35 eV/f.u.
- Energy relative to the elements, uncorrected: 1.023 eV per atom
- Calculated volume: 276.9 Å³/cell

---

(14)
A plane-wave DFT calculation with GGA-PBEsol was carried out for a geometry-optimized TcPb2Cl structure.

Cell: 4.626 4.626 8.386 Å, 90.00 90.00 90.00°
Space group I4/mmm (No. 139)
Inequivalent atoms, fractional coordinates:
Tc  0.000  0.000  0.000 [2 per cell]
Pb  0.000  0.500  0.250 [4 per cell]
Cl  0.000  0.000  0.500 [2 per cell]

Computed properties:
- Electronic total energy: -4.711 eV/atom
- Size of the total moment: 5.1 μB/cell
- ΔE to the lowest computed polymorph: 1.00 eV/f.u.
- Energy relative to the elements, uncorrected: 0.607 eV per atom
- Calculated volume: 179.4 Å³/cell

---

(15)
A plane-wave DFT calculation with GGA-PBEsol was carried out for a geometry-optimized TePbCl2 structure.

Cell: 3.6226 3.6226 28.3988 Å, 90.00 90.00 120.00°
Space group R3m (No. 160, hexagonal axes)
Inequivalent atoms, fractional coordinates:
Te  0.0000  0.0000  0.0000 [3 per cell]
Pb  0.0000  0.0000  0.7572 [3 per cell]
Cl  0.0000  0.0000  0.2599 [3 per cell]
Cl  0.0000  0.0000  0.4909 [3 per cell]

Computed properties:
- Electronic total energy: -3.126 eV/atom
- Size of the total moment: 0.0 μB/cell
- ΔE to the lowest computed polymorph: 1.01 eV/f.u.
- Energy relative to the elements, uncorrected: -0.241 eV per atom
- Calculated volume: 322.8 Å³/cell

---

(16)
A plane-wave DFT calculation with GGA-PBEsol was carried out for a geometry-optimized TePbCl2 structure.

Cell: 3.494 6.015 9.589 Å, 90.00 90.00 90.00°
Space group Immm (No. 71)
Inequivalent atoms, fractional coordinates:
Te  0.000  0.000  0.000 [2 per cell]
Pb  0.000  0.000  0.500 [2 per cell]
Cl  0.000  0.500  0.239 [4 per cell]

Computed properties:
- Electronic total energy: -3.270 eV/atom
- Size of the total moment: 0.0 μB/cell
- ΔE to the lowest computed polymorph: 0.43 eV/f.u.
- Energy relative to the elements, uncorrected: -0.385 eV per atom
- Calculated volume: 201.5 Å³/cell

---

(17)
A plane-wave DFT calculation with GGA-PBEsol was carried out for a geometry-optimized TePbCl3 structure.

Cell: 5.358 5.358 5.358 Å, 90.00 90.00 90.00°
Space group Pm-3m (No. 221)
Inequivalent atoms, fractional coordinates:
Te  0.000  0.000  0.000 [1 per cell]
Pb  0.500  0.500  0.500 [1 per cell]
Cl  0.000  0.000  0.500 [3 per cell]

Computed properties:
- Electronic total energy: -2.781 eV/atom
- Size of the total moment: 0.0 μB/cell
- Energy relative to the elements, uncorrected: -0.072 eV per atom
- Calculated volume: 153.9 Å³/cell

---

(18)
A plane-wave DFT calculation with GGA-PBEsol was carried out for a geometry-optimized TePbCl structure.

Cell: 3.8847 3.8847 6.9798 Å, 90.00 90.00 120.00°
Space group P3m1 (No. 156)
Inequivalent atoms, fractional coordinates:
Te  0.0000  0.0000  0.0000 [1 per cell]
Pb  0.6667  0.3333  0.3164 [1 per cell]
Cl  0.3333  0.6667  0.5803 [1 per cell]

Computed properties:
- Electronic total energy: -3.545 eV/atom
- Size of the total moment: 0.0 μB/cell
- Energy relative to the elements, uncorrected: -0.368 eV per atom
- Calculated volume: 91.2 Å³/cell

---

(19)
A plane-wave DFT calculation with GGA-PBEsol was carried out for a geometry-optimized TePbCl2 structure.

Cell: 3.377 3.377 10.420 Å, 90.00 90.00 90.00°
Space group P4/mmm (No. 123)
Inequivalent atoms, fractional coordinates:
Te  0.000  0.000  0.000 [1 per cell]
Pb  0.000  0.000  0.500 [1 per cell]
Cl  0.500  0.500  0.335 [2 per cell]

Computed properties:
- Electronic total energy: -3.378 eV/atom
- Size of the total moment: 0.0 μB/cell
- ΔE to the lowest computed polymorph: 0.00 eV/f.u.
- Energy relative to the elements, uncorrected: -0.493 eV per atom
- Calculated volume: 118.8 Å³/cell

---

(20)
A plane-wave DFT calculation with GGA-PBEsol was carried out for a geometry-optimized TePb2Cl structure.

Cell: 8.962 4.112 6.669 Å, 90.00 106.09 90.00°
Space group C2/m (No. 12)
Inequivalent atoms, fractional coordinates:
Te  0.000  0.000  0.000 [2 per cell]
Pb  0.249  0.500  0.261 [4 per cell]
Cl  0.000  0.500  0.500 [2 per cell]

Computed properties:
- Electronic total energy: -3.844 eV/atom
- Size of the total moment: 0.0 μB/cell
- ΔE to the lowest computed polymorph: 0.00 eV/f.u.
- Energy relative to the elements, uncorrected: -0.461 eV per atom
- Calculated volume: 236.1 Å³/cell